Record 1
{"formula": "LiAc2HoTe4", "functional": "PBE-GGA", "state": "relaxed", "cell": [[-2.405, -0.706, -3.778], [-6.544, -0.843, 4.323], [0.872, 7.516, -1.960]], "species": ["Li", "Ac", "Ac", "Ho", "Te", "Te", "Te", "Te"], "fractional_positions": [[0.000, 0.000, 0.000], [0.500, 0.000, 0.500], [0.000, 0.500, 0.500], [0.500, 0.500, 0.000], [0.500, 0.238, 0.219], [0.500, 0.762, 0.781], [0.000, 0.256, 0.780], [0.000, 0.744, 0.220]], "raw_formation_energy_ev_per_atom": -1.37, "dos_at_fermi_per_ev_cell": 3.2, "volume_a3_per_atom": 32.95, "magnetic_moment_mub_per_fu": 0.000}

***

Record 2
{"formula": "CuSb2TeO", "functional": "PBE-GGA", "state": "relaxed", "cell": [[-4.936, -0.433, -1.034], [0.491, -5.033, -0.235], [-0.981, -0.321, 4.819]], "species": ["Sb", "Sb", "Te", "O", "Cu"], "fractional_positions": [[0.000, 0.500, 0.000], [0.500, 0.000, 0.000], [0.000, 0.000, 0.500], [0.500, 0.500, 0.500], [0.000, 0.000, 0.000]], "raw_formation_energy_ev_per_atom": 0.84, "dos_at_fermi_per_ev_cell": 9.1, "volume_a3_per_atom": 25.26, "de_polymorph_ev_per_atom": 0.5562, "magnetic_moment_mub_per_fu": 0.000}